No. 1
Computed, not measured: a crystal of In2P6O19 relaxed with PBEsol at the SCAN level of DFT.

Summary:
- Formation energy from raw total energies: -2144.9 meV/atom
- Space-group type: Pmmn, No. 59

Unit cell a=5.0464 b=11.5013 c=13.1460 alpha=90.00 beta=90.00 gamma=90.00
With the nearest neighbours (Å) after each atom.
Positions (direct):
In (0.0000, 0.2500, 0.7500)  6 O 2.12-2.14
In (0.0000, 0.2500, 0.2500)  6 O 2.12-2.14
In (0.0000, 0.7500, 0.7500)  6 O 2.12-2.14
In (0.0000, 0.7500, 0.2500)  6 O 2.12-2.14
P (0.0661, 0.0000, 0.8878)  4 O 1.52-1.59
P (0.0661, 0.0000, 0.1122)  4 O 1.52-1.59
P (0.9339, 0.5000, 0.6122)  4 O 1.52-1.59
P (0.9339, 0.5000, 0.3878)  4 O 1.52-1.59
P (0.5087, 0.3710, 0.8865)  4 O 1.49-1.61
P (0.5087, 0.3710, 0.1135)  4 O 1.49-1.61
P (0.5087, 0.6290, 0.8865)  4 O 1.49-1.61
P (0.5087, 0.6290, 0.1135)  4 O 1.49-1.61
P (0.4913, 0.1290, 0.6135)  4 O 1.49-1.61
P (0.4913, 0.1290, 0.3865)  4 O 1.49-1.61
P (0.4913, 0.8710, 0.6135)  4 O 1.49-1.61
P (0.4913, 0.8710, 0.3865)  4 O 1.49-1.61
O (0.6304, 0.5000, 0.8853)  2 P 1.61
O (0.6304, 0.5000, 0.1147)  2 P 1.61
O (0.3696, 0.0000, 0.6147)  2 P 1.61
O (0.3696, 0.0000, 0.3853)  2 P 1.61
O (0.2753, 0.3662, 0.8169)  1 P 1.49
O (0.2753, 0.3662, 0.1831)  1 P 1.49
O (0.2753, 0.6338, 0.8169)  1 P 1.49
O (0.2753, 0.6338, 0.1831)  1 P 1.49
O (0.7247, 0.1338, 0.6831)  1 P 1.49
O (0.7247, 0.1338, 0.3169)  1 P 1.49
O (0.7247, 0.8662, 0.6831)  1 P 1.49
O (0.7247, 0.8662, 0.3169)  1 P 1.49
O (0.3965, 0.3580, 0.0000)  2 P 1.60
O (0.3965, 0.6420, 0.0000)  2 P 1.60
O (0.6035, 0.1420, 0.5000)  2 P 1.60
O (0.6035, 0.8580, 0.5000)  2 P 1.60
O (0.7356, 0.2887, 0.8721)  1 P 1.50
O (0.7356, 0.2887, 0.1279)  1 P 1.50
O (0.7356, 0.7113, 0.8721)  1 P 1.50
O (0.7356, 0.7113, 0.1279)  1 P 1.50
O (0.2644, 0.2113, 0.6279)  1 P 1.50
O (0.2644, 0.2113, 0.3721)  1 P 1.50
O (0.2644, 0.7887, 0.6279)  1 P 1.50
O (0.2644, 0.7887, 0.3721)  1 P 1.50
O (0.7614, 0.0000, 0.8891)  1 P 1.54
O (0.7614, 0.0000, 0.1109)  1 P 1.54
O (0.2386, 0.5000, 0.6109)  1 P 1.54
O (0.2386, 0.5000, 0.3891)  1 P 1.54
O (0.1630, 0.1118, 0.8392)  1 P 1.52
O (0.1630, 0.1118, 0.1608)  1 P 1.52
O (0.1630, 0.8882, 0.8392)  1 P 1.52
O (0.1630, 0.8882, 0.1608)  1 P 1.52
O (0.8370, 0.3882, 0.6608)  1 P 1.52
O (0.8370, 0.3882, 0.3392)  1 P 1.52
O (0.8370, 0.6118, 0.6608)  1 P 1.52
O (0.8370, 0.6118, 0.3392)  1 P 1.52
O (0.1857, 0.0000, 0.0000)  2 P 1.59
O (0.8143, 0.5000, 0.5000)  2 P 1.59

No. 2
Computed, not measured: a crystal of Na4As2O7 relaxed with PBEsol at the SCAN level of DFT.

Summary:
- Formation energy from raw total energies: -1802.4 meV/atom
- Space-group type: C2/c, No. 15

Unit cell a=5.8895 b=5.8895 c=12.3440 alpha=91.43 beta=91.43 gamma=118.87
With the nearest neighbours (Å) after each atom.
Positions (direct):
Na (0.9792, 0.3334, 0.3719)  5 O 2.35-2.43
Na (0.6666, 0.0208, 0.1281)  5 O 2.35-2.43
Na (0.0208, 0.6666, 0.6281)  5 O 2.35-2.43
Na (0.3334, 0.9792, 0.8719)  5 O 2.35-2.43
Na (0.7034, 0.6787, 0.9040)  4 O 2.26-2.45
Na (0.3213, 0.2966, 0.5960)  4 O 2.26-2.45
Na (0.2966, 0.3213, 0.0960)  4 O 2.26-2.45
Na (0.6787, 0.7034, 0.4040)  4 O 2.26-2.45
As (0.0095, 0.7043, 0.1385)  4 O 1.69-1.82
As (0.2957, 0.9905, 0.3615)  4 O 1.69-1.82
As (0.9905, 0.2957, 0.8615)  4 O 1.69-1.82
As (0.7043, 0.0095, 0.6385)  4 O 1.69-1.82
O (0.4442, 0.0232, 0.6862)  1 As 1.69
O (0.9768, 0.5558, 0.8138)  1 As 1.69
O (0.5558, 0.9768, 0.3138)  1 As 1.69
O (0.0232, 0.4442, 0.1862)  1 As 1.69
O (0.6427, 0.7116, 0.5926)  1 As 1.69
O (0.2884, 0.3573, 0.9074)  1 As 1.69
O (0.3573, 0.2884, 0.4074)  1 As 1.69
O (0.7116, 0.6427, 0.0926)  1 As 1.69
O (0.8893, 0.2473, 0.5553)  1 As 1.69
O (0.7527, 0.1107, 0.9447)  1 As 1.69
O (0.1107, 0.7527, 0.4447)  1 As 1.69
O (0.2473, 0.8893, 0.0553)  1 As 1.69
O (0.0645, 0.9355, 0.2500)  2 As 1.82
O (0.9355, 0.0645, 0.7500)  2 As 1.82

No. 3
Computed, not measured: a crystal of LiInNi2 relaxed with PBEsol at the SCAN level of DFT.

Summary:
- Formation enthalpy at 0 K: -80 meV per atom
- Space-group type: P4/mmm, No. 123

Unit cell a=3.6056 b=3.7806 c=3.7806 alpha=90.00 beta=90.00 gamma=90.00
With the nearest neighbours (Å) after each atom.
Positions (direct):
Ni (0.0000, 0.0000, 0.5000)  4 In 2.61, 4 Li 2.61, 4 Ni 2.67
Ni (0.0000, 0.5000, 0.0000)  4 In 2.61, 4 Li 2.61, 4 Ni 2.67
In (0.5000, 0.5000, 0.5000)  8 Ni 2.61, 4 Li 2.67
Li (0.5000, 0.0000, 0.0000)  8 Ni 2.61, 4 In 2.67

No. 4
Computed, not measured: a crystal of TaTe2Os relaxed with PBEsol at the SCAN level of DFT.

Summary:
- Formation energy from raw total energies: 593.9 meV/atom
- Energy relative to the lowest polymorph listed for this composition: 0.432 eV/atom
- Space-group type: P4/mmm, No. 123

Unit cell a=3.3437 b=3.3437 c=6.5860 alpha=90.00 beta=90.00 gamma=90.00
With the nearest neighbours (Å) after each atom.
Positions (direct):
Os (0.5000, 0.5000, 0.0000)  8 Te 2.88
Ta (0.5000, 0.5000, 0.5000)  8 Te 2.88
Te (0.0000, 0.0000, 0.7493)  4 Ta 2.88, 4 Os 2.88
Te (0.0000, 0.0000, 0.2507)  4 Ta 2.88, 4 Os 2.88